A plane-wave DFT calculation with PBE was carried out for a relaxed structure of TePtNO.

Unit cell a=5.165 b=8.054 c=5.930 alpha=90.00 beta=90.00 gamma=90.00
Sites, in units of the cell vectors:
1 Te 0.234 0.171 0.000
2 Te 0.266 0.171 0.500
3 Te 0.734 0.829 0.000
4 Te 0.766 0.829 0.500
5 Pt 0.078 0.557 0.903
6 Pt 0.422 0.557 0.403
7 Pt 0.578 0.443 0.903
8 Pt 0.922 0.443 0.403
9 N 0.098 0.638 0.583
10 N 0.402 0.638 0.083
11 N 0.598 0.362 0.583
12 N 0.902 0.362 0.083
13 O 0.082 0.944 0.998
14 O 0.418 0.944 0.498
15 O 0.582 0.056 0.998
16 O 0.918 0.056 0.498

total magnetization: 0.00 μB/cell
E above lowest polymorph: 36 meV per atom
space group: No. 29

A plane-wave DFT calculation with PBE was carried out for a relaxed structure of PrNdGe4Pd2.

Unit cell a=4.354 b=4.398 c=8.952 alpha=90.00 beta=103.68 gamma=90.00
Sites, in units of the cell vectors:
1 Pr 0.000 0.000 0.000
2 Nd 0.230 0.500 0.432
3 Ge 0.359 0.000 0.718
4 Ge 0.537 0.500 0.144
5 Ge 0.691 0.000 0.287
6 Ge 0.870 0.500 0.715
7 Pd 0.444 0.500 0.863
8 Pd 0.785 0.000 0.568

total magnetization: 0.01 μB/cell
E above lowest polymorph: 4 meV per atom
space group: No. 6

A plane-wave DFT calculation with PBE was carried out for a relaxed structure of Ni14Te.

Unit cell a=4.278 b=5.499 c=28.222 alpha=90.20 beta=90.00 gamma=104.91
Sites, in units of the cell vectors:
1 Ni 0.000 0.249 0.442
2 Ni 0.000 0.751 0.558
3 Ni 0.001 0.247 0.675
4 Ni 0.141 0.179 0.293
5 Ni 0.142 0.678 0.409
6 Ni 0.143 0.179 0.525
7 Ni 0.145 0.681 0.641
8 Ni 0.284 0.606 0.724
9 Ni 0.286 0.104 0.375
10 Ni 0.286 0.109 0.608
11 Ni 0.286 0.608 0.492
12 Ni 0.428 0.537 0.574
13 Ni 0.429 0.035 0.458
14 Ni 0.429 0.535 0.343
15 Ni 0.430 0.035 0.693
16 Ni 0.570 0.965 0.307
17 Ni 0.571 0.465 0.657
18 Ni 0.571 0.965 0.542
19 Ni 0.572 0.463 0.426
20 Ni 0.714 0.392 0.508
21 Ni 0.714 0.891 0.392
22 Ni 0.714 0.896 0.625
23 Ni 0.716 0.394 0.276
24 Ni 0.855 0.319 0.359
25 Ni 0.857 0.821 0.475
26 Ni 0.858 0.322 0.591
27 Ni 0.859 0.821 0.707
28 Ni 0.999 0.753 0.325
29 Te 0.289 0.612 0.250
30 Te 0.711 0.388 0.750

total magnetization: 10.12 μB/cell
E above lowest polymorph: 27 meV per atom
space group: No. 2

A plane-wave DFT calculation with PBE was carried out for a relaxed structure of NaPIrO.

Unit cell a=3.473 b=3.473 c=8.987 alpha=90.00 beta=90.00 gamma=90.00
Sites, in units of the cell vectors:
1 Na 0.250 0.750 0.000
2 Na 0.750 0.250 0.000
3 P 0.250 0.250 0.241
4 P 0.750 0.750 0.759
5 Ir 0.250 0.250 0.650
6 Ir 0.750 0.750 0.350
7 O 0.250 0.750 0.500
8 O 0.750 0.250 0.500

total magnetization: 0.01 μB/cell
E above lowest polymorph: 863 meV per atom
space group: No. 129

A plane-wave DFT calculation with PBE was carried out for a relaxed structure of TaTl.

Unit cell a=3.105 b=3.105 c=4.958 alpha=90.00 beta=90.00 gamma=120.00
Sites, in units of the cell vectors:
1 Ta 0.000 0.000 0.000
2 Tl 0.667 0.333 0.500

total magnetization: 0.00 μB/cell
E above lowest polymorph: 0 meV per atom
space group: No. 187

A plane-wave DFT calculation with PBE was carried out for a relaxed structure of Cu9Ag.

Unit cell a=20.895 b=20.895 c=20.895 alpha=7.23 beta=7.23 gamma=7.23
Sites, in units of the cell vectors:
1 Cu 0.000 0.000 0.000
2 Cu 0.098 0.098 0.098
3 Cu 0.203 0.203 0.203
4 Cu 0.301 0.301 0.301
5 Cu 0.398 0.398 0.398
6 Cu 0.602 0.602 0.602
7 Cu 0.699 0.699 0.699
8 Cu 0.797 0.797 0.797
9 Cu 0.902 0.902 0.902
10 Ag 0.500 0.500 0.500

formation enthalpy at 0 K: 5 kJ/mol of atoms
E above lowest polymorph: 17 meV per atom
space group: No. 166

A plane-wave DFT calculation with PBE was carried out for a relaxed structure of ReF.

Unit cell a=4.689 b=4.689 c=4.689 alpha=90.00 beta=90.00 gamma=90.00
Sites, in units of the cell vectors:
1 Re 0.000 0.000 0.000
2 Re 0.000 0.500 0.500
3 Re 0.500 0.000 0.500
4 Re 0.500 0.500 0.000
5 F 0.000 0.000 0.500
6 F 0.000 0.500 0.000
7 F 0.500 0.000 0.000
8 F 0.500 0.500 0.500

total magnetization: 5.25 μB/cell
E above lowest polymorph: 1351 meV per atom
space group: No. 225

A plane-wave DFT calculation with PBE was carried out for a relaxed structure of PrHoAg2O4.

Unit cell a=3.592 b=3.592 c=12.512 alpha=90.00 beta=90.00 gamma=120.00
Sites, in units of the cell vectors:
1 Pr 0.000 0.000 0.000
2 Ho 0.000 0.000 0.500
3 Ag 0.333 0.667 0.256
4 Ag 0.667 0.333 0.744
5 O 0.333 0.667 0.091
6 O 0.333 0.667 0.421
7 O 0.667 0.333 0.579
8 O 0.667 0.333 0.909

total magnetization: 0.00 μB/cell
space group: No. 164

A plane-wave DFT calculation with PBE was carried out for a relaxed structure of HfSiMo.

Unit cell a=6.944 b=3.501 c=8.190 alpha=90.00 beta=90.00 gamma=90.00
Sites, in units of the cell vectors:
1 Hf 0.043 0.250 0.167
2 Hf 0.457 0.750 0.667
3 Hf 0.543 0.250 0.333
4 Hf 0.957 0.750 0.833
5 Si 0.243 0.750 0.362
6 Si 0.257 0.250 0.862
7 Si 0.743 0.750 0.138
8 Si 0.757 0.250 0.638
9 Mo 0.134 0.250 0.562
10 Mo 0.366 0.750 0.062
11 Mo 0.634 0.250 0.938
12 Mo 0.866 0.750 0.438

total magnetization: 0.00 μB/cell
E above lowest polymorph: 0 meV per atom
space group: No. 62

A plane-wave DFT calculation with PBE was carried out for a relaxed structure of NaCdAsO.

Unit cell a=3.737 b=8.043 c=5.021 alpha=90.00 beta=90.00 gamma=90.00
Sites, in units of the cell vectors:
1 Na 0.000 0.142 0.000
2 Na 0.000 0.858 0.500
3 Cd 0.500 0.245 0.501
4 Cd 0.500 0.755 0.001
5 As 0.500 0.429 0.000
6 As 0.500 0.571 0.500
7 O 0.000 0.125 0.492
8 O 0.000 0.875 0.992

E above lowest polymorph: 59 meV per atom
space group: No. 26

A plane-wave DFT calculation with PBE was carried out for a relaxed structure of Pm2ZnGe3.

Unit cell a=4.153 b=4.327 c=7.296 alpha=90.00 beta=90.00 gamma=90.00
Sites, in units of the cell vectors:
1 Pm 0.000 0.000 0.000
2 Pm 0.000 0.500 0.488
3 Zn 0.500 0.500 0.822
4 Ge 0.500 0.000 0.329
5 Ge 0.500 0.000 0.670
6 Ge 0.500 0.500 0.155

total magnetization: 0.01 μB/cell
space group: No. 25

A plane-wave DFT calculation with PBE was carried out for a relaxed structure of LuFeAs.

Unit cell a=6.193 b=6.193 c=6.193 alpha=90.00 beta=90.00 gamma=90.00
Sites, in units of the cell vectors:
1 Lu 0.000 0.000 0.000
2 Lu 0.000 0.500 0.500
3 Lu 0.500 0.000 0.500
4 Lu 0.500 0.500 0.000
5 Fe 0.000 0.000 0.500
6 Fe 0.000 0.500 0.000
7 Fe 0.500 0.000 0.000
8 Fe 0.500 0.500 0.500
9 As 0.250 0.250 0.750
10 As 0.250 0.750 0.250
11 As 0.750 0.250 0.250
12 As 0.750 0.750 0.750

total magnetization: 8.60 μB/cell
space group: No. 216

A plane-wave DFT calculation with PBE was carried out for a relaxed structure of LuCuPbSe3.

Unit cell a=10.431 b=4.023 c=13.576 alpha=90.00 beta=90.00 gamma=90.00
Sites, in units of the cell vectors:
1 Lu 0.005 0.250 0.247
2 Lu 0.495 0.750 0.747
3 Lu 0.505 0.250 0.253
4 Lu 0.995 0.750 0.753
5 Cu 0.244 0.250 0.718
6 Cu 0.256 0.750 0.218
7 Cu 0.744 0.250 0.782
8 Cu 0.756 0.750 0.282
9 Pb 0.241 0.750 0.506
10 Pb 0.259 0.250 0.006
11 Pb 0.741 0.750 0.994
12 Pb 0.759 0.250 0.494
13 Se 0.053 0.250 0.612
14 Se 0.068 0.750 0.110
15 Se 0.246 0.750 0.828
16 Se 0.254 0.250 0.328
17 Se 0.432 0.250 0.610
18 Se 0.447 0.750 0.112
19 Se 0.553 0.250 0.888
20 Se 0.568 0.750 0.390
21 Se 0.746 0.750 0.672
22 Se 0.754 0.250 0.172
23 Se 0.932 0.250 0.890
24 Se 0.947 0.750 0.388

total magnetization: 0.00 μB/cell
space group: No. 62

A plane-wave DFT calculation with PBE was carried out for a relaxed structure of TmMg2ZnAu4.

Unit cell a=4.701 b=4.701 c=6.825 alpha=90.00 beta=90.00 gamma=90.00
Sites, in units of the cell vectors:
1 Tm 0.000 0.000 0.000
2 Mg 0.000 0.000 0.500
3 Mg 0.500 0.500 0.000
4 Zn 0.500 0.500 0.500
5 Au 0.000 0.500 0.266
6 Au 0.000 0.500 0.734
7 Au 0.500 0.000 0.266
8 Au 0.500 0.000 0.734

total magnetization: 0.00 μB/cell
space group: No. 123

A plane-wave DFT calculation with PBE was carried out for a relaxed structure of YLuRe2Si2C.

Unit cell a=10.881 b=3.975 c=6.878 alpha=90.00 beta=127.32 gamma=90.00
Sites, in units of the cell vectors:
1 Y 0.000 0.000 0.000
2 Y 0.500 0.500 0.000
3 Lu 0.145 0.000 0.598
4 Lu 0.645 0.500 0.598
5 Re 0.282 0.500 0.395
6 Re 0.366 0.000 0.208
7 Re 0.782 0.000 0.395
8 Re 0.866 0.500 0.208
9 Si 0.214 0.500 0.978
10 Si 0.432 0.000 0.621
11 Si 0.714 0.000 0.978
12 Si 0.932 0.500 0.621
13 C 0.075 0.500 0.307
14 C 0.575 0.000 0.307

total magnetization: 0.02 μB/cell
space group: No. 8

A plane-wave DFT calculation with PBE was carried out for a relaxed structure of HfFeSiAg.

Unit cell a=6.339 b=6.339 c=6.339 alpha=90.00 beta=90.00 gamma=90.00
Sites, in units of the cell vectors:
1 Hf 0.000 0.000 0.000
2 Hf 0.000 0.500 0.500
3 Hf 0.500 0.000 0.500
4 Hf 0.500 0.500 0.000
5 Fe 0.000 0.000 0.500
6 Fe 0.000 0.500 0.000
7 Fe 0.500 0.000 0.000
8 Fe 0.500 0.500 0.500
9 Si 0.250 0.250 0.250
10 Si 0.250 0.750 0.750
11 Si 0.750 0.250 0.750
12 Si 0.750 0.750 0.250
13 Ag 0.250 0.250 0.750
14 Ag 0.250 0.750 0.250
15 Ag 0.750 0.250 0.250
16 Ag 0.750 0.750 0.750

total magnetization: 9.20 μB/cell
E above lowest polymorph: 2 meV per atom
space group: No. 216

A plane-wave DFT calculation with PBE was carried out for a relaxed structure of Pm2Al5Ag5.

Unit cell a=4.436 b=5.479 c=9.636 alpha=90.00 beta=90.00 gamma=90.00
Sites, in units of the cell vectors:
1 Pm 0.000 0.000 0.000
2 Pm 0.000 0.500 0.500
3 Al 0.500 0.000 0.500
4 Al 0.500 0.248 0.245
5 Al 0.500 0.248 0.755
6 Al 0.500 0.752 0.245
7 Al 0.500 0.752 0.755
8 Ag 0.000 0.000 0.334
9 Ag 0.000 0.000 0.666
10 Ag 0.000 0.500 0.180
11 Ag 0.000 0.500 0.820
12 Ag 0.500 0.500 0.000

total magnetization: 0.00 μB/cell
space group: No. 47

A plane-wave DFT calculation with PBE was carried out for a relaxed structure of SmAs.

Unit cell a=4.203 b=4.215 c=5.952 alpha=90.00 beta=90.00 gamma=90.00
Sites, in units of the cell vectors:
1 Sm 0.000 0.000 0.000
2 Sm 0.500 0.500 0.500
3 As 0.000 0.000 0.500
4 As 0.500 0.500 0.000

total magnetization: 0.00 μB/cell
space group: No. 71

A plane-wave DFT calculation with PBE was carried out for a relaxed structure of GdY3C2S2.

Unit cell a=3.722 b=3.722 c=12.963 alpha=90.00 beta=90.00 gamma=120.00
Sites, in units of the cell vectors:
1 Gd 0.000 0.000 0.000
2 Y 0.000 0.000 0.708
3 Y 0.333 0.667 0.210
4 Y 0.333 0.667 0.500
5 C 0.667 0.333 0.105
6 C 0.667 0.333 0.604
7 S 0.000 0.000 0.354
8 S 0.333 0.667 0.853

total magnetization: 0.01 μB/cell
space group: No. 156

A plane-wave DFT calculation with PBE was carried out for a relaxed structure of LuSiMo.

Unit cell a=6.532 b=6.532 c=6.532 alpha=90.00 beta=90.00 gamma=90.00
Sites, in units of the cell vectors:
1 Lu 0.000 0.000 0.000
2 Lu 0.000 0.500 0.500
3 Lu 0.500 0.000 0.500
4 Lu 0.500 0.500 0.000
5 Si 0.250 0.250 0.250
6 Si 0.250 0.750 0.750
7 Si 0.750 0.250 0.750
8 Si 0.750 0.750 0.250
9 Mo 0.250 0.250 0.750
10 Mo 0.250 0.750 0.250
11 Mo 0.750 0.250 0.250
12 Mo 0.750 0.750 0.750

total magnetization: 11.50 μB/cell
space group: No. 216

Total energy values (in eV/cell) by entry order: -85.24 -44.68 -160.46 -38.90 -13.15 -35.75 -44.59 -52.27 -113.41 -27.95 -28.49 -74.65 -113.44 -26.52 -120.17 -105.60 -46.59 -24.85 -60.74 -70.35.